## Tm2Sn2Rh3 (PBE)

Data for crystalline Tm2Sn2Rh3 at its relaxed geometry.

The total energy is -6.265 eV/atom. The value obtained for the formation energy from the elements is -0.694 eV/atom. For the density of states at the Fermi level, the calculation gives 4.44 states/eV per cell.

It has space group C2/m (No. 12), with a = 8.055 Å, b = 4.659 Å, c = 8.050 Å, α = 90.00°, β = 109.43° and γ = 90.00°. The asymmetric unit holds Tm at (0.123, 0.000, 0.369), Sn at (0.118, 0.500, 0.854), Rh at (0.000, 0.000, 0.000) and Rh at (0.243, 0.500, 0.227).

=====

## Tm6Sn2Rh (PBE)

Data for crystalline Tm6Sn2Rh at its relaxed geometry.

The total energy is -4.915 eV/atom. The value obtained for the formation energy from the elements is -0.228 eV/atom. For the density of states at the Fermi level, the calculation gives 21.44 states/eV per cell.

It has space group P4_2/mnm (No. 136), with a = 6.645 Å, b = 6.645 Å, c = 13.618 Å, α = 90.00°, β = 90.00° and γ = 90.00°. The asymmetric unit holds Tm at (0.187, 0.187, 0.145), Tm at (0.212, 0.212, 0.500), Sn at (0.000, 0.000, 0.328) and Rh at (0.000, 0.000, 0.000).

=====

## Tm4SnRh2 (PBE)

Data for crystalline Tm4SnRh2 at its relaxed geometry.

The total energy is -5.910 eV/atom. The value obtained for the formation energy from the elements is -0.682 eV/atom. For the density of states at the Fermi level, the calculation gives 6.18 states/eV per cell.

It has space group R-3m (No. 166, hexagonal axes), with a = 4.5890 Å, b = 4.5890 Å, c = 28.9685 Å, α = 90.00°, β = 90.00° and γ = 120.00°. The asymmetric unit holds Tm at (0.0000, 0.0000, 0.1136), Tm at (0.0000, 0.0000, 0.2982), Sn at (0.0000, 0.0000, 0.5000) and Rh at (0.0000, 0.0000, 0.4013).

=====

## TmSn4Rh (PBE)

Data for crystalline TmSn4Rh at its relaxed geometry.

The total energy is -4.884 eV/atom. The value obtained for the formation energy from the elements is -0.245 eV/atom. For the density of states at the Fermi level, the calculation gives 8.07 states/eV per cell.

It has space group I-4 (No. 82), with a = 6.766 Å, b = 6.766 Å, c = 6.125 Å, α = 90.00°, β = 90.00° and γ = 90.00°. The asymmetric unit holds Tm at (0.000, 0.000, 0.000), Sn at (0.143, 0.742, 0.607) and Rh at (0.000, 0.500, 0.250).

=====

## TmSnRh2 (PBE)

Data for crystalline TmSnRh2 at its relaxed geometry.

The total energy is -6.615 eV/atom. The value obtained for the formation energy from the elements is -0.821 eV/atom. For the density of states at the Fermi level, the calculation gives 2.77 states/eV per cell.

It has space group P4/mmm (No. 123), with a = 4.531 Å, b = 4.531 Å, c = 3.510 Å, α = 90.00°, β = 90.00° and γ = 90.00°. The asymmetric unit holds Tm at (0.000, 0.000, 0.000), Sn at (0.500, 0.500, 0.000) and Rh at (0.000, 0.500, 0.500).

=====

## Tm3SnRh2 (PBE)

Data for crystalline Tm3SnRh2 at its relaxed geometry.

The total energy is -6.205 eV/atom. The value obtained for the formation energy from the elements is -0.851 eV/atom. For the density of states at the Fermi level, the calculation gives 3.07 states/eV per cell.

It has space group P4/mmm (No. 123), with a = 3.360 Å, b = 3.360 Å, c = 11.444 Å, α = 90.00°, β = 90.00° and γ = 90.00°. The asymmetric unit holds Tm at (0.000, 0.000, 0.000), Tm at (0.000, 0.000, 0.299), Sn at (0.500, 0.500, 0.500) and Rh at (0.500, 0.500, 0.154).

=====

## Tm3SnRh (PBE)

Data for crystalline Tm3SnRh at its relaxed geometry.

The total energy is -5.619 eV/atom. The value obtained for the formation energy from the elements is -0.665 eV/atom. For the density of states at the Fermi level, the calculation gives 6.38 states/eV per cell.

It has space group P2_1/m (No. 11), with a = 5.566 Å, b = 6.566 Å, c = 7.152 Å, α = 90.00°, β = 103.15° and γ = 90.00°. The asymmetric unit holds Tm at (0.141, 0.250, 0.110), Tm at (0.316, 0.008, 0.694), Sn at (0.185, 0.750, 0.318) and Rh at (0.389, 0.750, 0.994).

=====

## Tm4SnRh7 (PBE)

Data for crystalline Tm4SnRh7 at its relaxed geometry.

The total energy is -6.597 eV/atom. The value obtained for the formation energy from the elements is -0.485 eV/atom. For the density of states at the Fermi level, the calculation gives 18.40 states/eV per cell.

It has space group C2/m (No. 12), with a = 11.059 Å, b = 4.981 Å, c = 9.798 Å, α = 90.00°, β = 120.13° and γ = 90.00°. The asymmetric unit holds Tm at (0.091, 0.000, 0.278), Tm at (0.240, 0.500, 0.162), Sn at (0.000, 0.500, 0.500), Rh at (0.000, 0.000, 0.500), Rh at (0.080, 0.500, 0.808), Rh at (0.129, 0.000, 0.014) and Rh at (0.205, 0.500, 0.416).

=====

## TmSn5Rh3 (PBE)

Data for crystalline TmSn5Rh3 at its relaxed geometry.

The total energy is -5.566 eV/atom. The value obtained for the formation energy from the elements is -0.395 eV/atom. For the density of states at the Fermi level, the calculation gives 12.57 states/eV per cell.

It has space group C2/m (No. 12), with a = 11.523 Å, b = 9.157 Å, c = 9.818 Å, α = 90.00°, β = 120.27° and γ = 90.00°. The asymmetric unit holds Tm at (0.096, 0.000, 0.303), Sn at (0.000, 0.297, 0.000), Sn at (0.082, 0.500, 0.352), Sn at (0.161, 0.221, 0.657), Sn at (0.243, 0.000, 0.040), Rh at (0.000, 0.000, 0.000), Rh at (0.000, 0.000, 0.500), Rh at (0.148, 0.500, 0.651) and Rh at (0.190, 0.500, 0.175).

=====

## TmSn3Rh4 (PBE)

Data for crystalline TmSn3Rh4 at its relaxed geometry.

The total energy is -6.341 eV/atom. The value obtained for the formation energy from the elements is -0.606 eV/atom. For the density of states at the Fermi level, the calculation gives 9.79 states/eV per cell.

It has space group C2/m (No. 12), with a = 6.336 Å, b = 6.352 Å, c = 7.701 Å, α = 90.00°, β = 114.19° and γ = 90.00°. The asymmetric unit holds Tm at (0.000, 0.000, 0.000), Sn at (0.000, 0.500, 0.000), Sn at (0.249, 0.000, 0.498) and Rh at (0.119, 0.250, 0.737).

=====

## TmZnSnRh (PBE)

Data for crystalline TmZnSnRh at its relaxed geometry.

The total energy is -4.806 eV/atom. The value obtained for the formation energy from the elements is -0.531 eV/atom. For the density of states at the Fermi level, the calculation gives 9.91 states/eV per cell.

It has space group F-43m (No. 216), with a = 6.688 Å, b = 6.688 Å, c = 6.688 Å, α = 90.00°, β = 90.00° and γ = 90.00°. The asymmetric unit holds Tm at (0.000, 0.000, 0.000), Zn at (0.250, 0.250, 0.750), Sn at (0.000, 0.000, 0.500) and Rh at (0.250, 0.250, 0.250).

=====

## USnRh4 (PBE)

Data for crystalline USnRh4 at its relaxed geometry.

For the energy above the most stable polymorph in this dataset, the calculation gives 0.034 eV/atom. The total energy is -7.831 eV/atom. The value obtained for the formation energy from the elements is -0.382 eV/atom. For the density of states at the Fermi level, the calculation gives 27.21 states/eV per cell.

It has space group F-43m (No. 216), with a = 7.454 Å, b = 7.454 Å, c = 7.454 Å, α = 90.00°, β = 90.00° and γ = 90.00°. The asymmetric unit holds U at (0.000, 0.000, 0.000), Sn at (0.250, 0.250, 0.250) and Rh at (0.124, 0.124, 0.624).

=====

## U2Sn8Rh (PBE)

Data for crystalline U2Sn8Rh at its relaxed geometry.

The total energy is -5.797 eV/atom. The value obtained for the formation energy from the elements is -0.165 eV/atom. For the density of states at the Fermi level, the calculation gives 16.37 states/eV per cell.

It has space group P4/mmm (No. 123), with a = 4.646 Å, b = 4.646 Å, c = 12.316 Å, α = 90.00°, β = 90.00° and γ = 90.00°. The asymmetric unit holds U at (0.000, 0.000, 0.187), Sn at (0.000, 0.500, 0.000), Sn at (0.000, 0.500, 0.374), Sn at (0.500, 0.500, 0.189) and Rh at (0.000, 0.000, 0.500).

=====

## U2Sn5Rh3 (PBE)

Data for crystalline U2Sn5Rh3 at its relaxed geometry.

The total energy is -6.864 eV/atom. The value obtained for the formation energy from the elements is -0.400 eV/atom. For the density of states at the Fermi level, the calculation gives 52.37 states/eV per cell.

It has space group Cmc2_1 (No. 36), with a = 4.503 Å, b = 26.721 Å, c = 7.111 Å, α = 90.00°, β = 90.00° and γ = 90.00°. The asymmetric unit holds U at (0.000, 0.024, 0.000), U at (0.000, 0.333, 0.048), Sn at (0.000, 0.096, 0.372), Sn at (0.000, 0.206, 0.833), Sn at (0.000, 0.210, 0.267), Sn at (0.000, 0.378, 0.505), Sn at (0.000, 0.452, 0.162), Rh at (0.000, 0.104, 0.760), Rh at (0.000, 0.278, 0.552) and Rh at (0.000, 0.451, 0.771).

=====

## U2SnRh2 (PBE)

Data for crystalline U2SnRh2 at its relaxed geometry.

The total energy is -8.725 eV/atom. The value obtained for the formation energy from the elements is -0.469 eV/atom. For the density of states at the Fermi level, the calculation gives 23.70 states/eV per cell.

It has space group P4/mbm (No. 127), with a = 7.637 Å, b = 7.637 Å, c = 3.561 Å, α = 90.00°, β = 90.00° and γ = 90.00°. The asymmetric unit holds U at (0.167, 0.333, 0.000), Sn at (0.000, 0.000, 0.500) and Rh at (0.137, 0.637, 0.500).

=====

## USnRh4 (PBE)

Data for crystalline USnRh4 at its relaxed geometry.

For the energy above the most stable polymorph in this dataset, the calculation gives 0.000 eV/atom. The total energy is -7.865 eV/atom. The value obtained for the formation energy from the elements is -0.416 eV/atom. For the density of states at the Fermi level, the calculation gives 8.27 states/eV per cell.

It has space group P2_1/m (No. 11), with a = 4.999 Å, b = 5.768 Å, c = 7.273 Å, α = 90.00°, β = 93.90° and γ = 90.00°. The asymmetric unit holds U at (0.244, 0.250, 0.463), Sn at (0.288, 0.750, 0.824), Rh at (0.216, 0.006, 0.139), Rh at (0.248, 0.750, 0.442) and Rh at (0.277, 0.250, 0.796).

=====

## VSn2Rh (PBE)

Data for crystalline VSn2Rh at its relaxed geometry.

The total energy is -6.193 eV/atom. The value obtained for the formation energy from the elements is -0.074 eV/atom. For the density of states at the Fermi level, the calculation gives 5.10 states/eV per cell.

It has space group Fm-3m (No. 225), with a = 6.606 Å, b = 6.606 Å, c = 6.606 Å, α = 90.00°, β = 90.00° and γ = 90.00°. The asymmetric unit holds V at (0.000, 0.000, 0.000), Sn at (0.250, 0.250, 0.250) and Rh at (0.000, 0.000, 0.500).

=====

## VSnRh (PBE)

Data for crystalline VSnRh at its relaxed geometry.

The total energy is -7.073 eV/atom. The value obtained for the formation energy from the elements is -0.248 eV/atom. For the density of states at the Fermi level, the calculation gives 14.42 states/eV per cell.

It has space group I4/mmm (No. 139), with a = 3.101 Å, b = 3.101 Å, c = 21.889 Å, α = 90.00°, β = 90.00° and γ = 90.00°. The asymmetric unit holds V at (0.000, 0.000, 0.216), Sn at (0.000, 0.000, 0.069) and Rh at (0.000, 0.000, 0.348).

=====

## VSn2Rh (PBE)

Data for crystalline VSn2Rh at its relaxed geometry.

The total energy is -5.873 eV/atom. The value obtained for the formation energy from the elements is 0.246 eV/atom. For the density of states at the Fermi level, the calculation gives 16.58 states/eV per cell.

It has space group I-42d (No. 122), with a = 7.342 Å, b = 7.342 Å, c = 6.009 Å, α = 90.00°, β = 90.00° and γ = 90.00°. The asymmetric unit holds V at (0.000, 0.000, 0.000), Sn at (0.232, 0.250, 0.625) and Rh at (0.000, 0.000, 0.500).

=====

## VSn2Rh6 (PBE)

Data for crystalline VSn2Rh6 at its relaxed geometry.

The total energy is -6.936 eV/atom. The value obtained for the formation energy from the elements is -0.132 eV/atom. For the density of states at the Fermi level, the calculation gives 14.33 states/eV per cell.

It has space group Immm (No. 71), with a = 4.178 Å, b = 6.101 Å, c = 12.552 Å, α = 90.00°, β = 90.00° and γ = 90.00°. The asymmetric unit holds V at (0.000, 0.000, 0.000), Sn at (0.000, 0.000, 0.334), Rh at (0.000, 0.237, 0.157) and Rh at (0.000, 0.270, 0.500).

=====

## VSnRh3 (PBE)

Data for crystalline VSnRh3 at its relaxed geometry.

For the energy above the most stable polymorph in this dataset, the calculation gives 0.000 eV/atom. The total energy is -6.559 eV/atom. The value obtained for the formation energy from the elements is 0.476 eV/atom. For the density of states at the Fermi level, the calculation gives 6.40 states/eV per cell.

It has space group Pm-3m (No. 221), with a = 4.530 Å, b = 4.530 Å, c = 4.530 Å, α = 90.00°, β = 90.00° and γ = 90.00°. The asymmetric unit holds V at (0.000, 0.000, 0.000), Sn at (0.500, 0.500, 0.500) and Rh at (0.000, 0.000, 0.500).

=====

## VSnRh (PBE)

Data for crystalline VSnRh at its relaxed geometry.

The total energy is -6.979 eV/atom. The value obtained for the formation energy from the elements is -0.154 eV/atom. For the density of states at the Fermi level, the calculation gives 6.58 states/eV per cell.

It has space group I4mm (No. 107), with a = 2.986 Å, b = 2.986 Å, c = 11.046 Å, α = 90.00°, β = 90.00° and γ = 90.00°. The asymmetric unit holds V at (0.000, 0.000, 0.000), Sn at (0.000, 0.000, 0.682) and Rh at (0.000, 0.000, 0.362).

=====

## VSnRh3 (PBE)

Data for crystalline VSnRh3 at its relaxed geometry.

For the energy above the most stable polymorph in this dataset, the calculation gives 0.718 eV/atom. The total energy is -5.841 eV/atom. The value obtained for the formation energy from the elements is 1.194 eV/atom. For the density of states at the Fermi level, the calculation gives 9.54 states/eV per cell.

It has space group Pm-3m (No. 221), with a = 4.790 Å, b = 4.790 Å, c = 4.790 Å, α = 90.00°, β = 90.00° and γ = 90.00°. The asymmetric unit holds V at (0.000, 0.000, 0.000), Sn at (0.500, 0.500, 0.500) and Rh at (0.000, 0.500, 0.500).

=====

## VSnRh6 (PBE)

Data for crystalline VSnRh6 at its relaxed geometry.

For the energy above the most stable polymorph in this dataset, the calculation gives 0.405 eV/atom. The total energy is -7.103 eV/atom. The value obtained for the formation energy from the elements is 0.051 eV/atom. For the density of states at the Fermi level, the calculation gives 19.88 states/eV per cell.

It has space group C2/m (No. 12), with a = 7.586 Å, b = 5.343 Å, c = 7.072 Å, α = 90.00°, β = 110.73° and γ = 90.00°. The asymmetric unit holds V at (0.000, 0.000, 0.000), Sn at (0.000, 0.500, 0.500), Rh at (0.144, 0.500, 0.939) and Rh at (0.188, 0.257, 0.284).

=====

no.,theoretical density (g cm⁻³)
1,10.30
2,7.48
3,9.43
4,8.84
5,11.37
6,10.68
7,9.50
8,10.78
9,7.95
10,11.00
11,10.12
12,12.33
13,9.55
14,10.70
15,12.80
16,12.20
17,9.02
18,8.60
19,8.02
20,9.40
21,8.55
22,9.19
23,7.23
24,9.75